[1]
Compound: Ce7Bi2Pb2
Source: Alexandria
Functional: GGA-PBE
Structure: optimized geometry

POSCAR file:
```
Ce7Bi2Pb2
1.0
4.835 -5.806 0.000
4.835 5.806 0.000
0.000 0.000 6.799
Ce Bi Pb
7 2 2
Cartesian
0.000 0.000 0.000
2.417 2.903 2.074
2.417 2.903 4.725
2.417 -2.903 2.074
2.417 -2.903 4.725
4.835 0.000 2.061
4.835 0.000 4.738
1.709 0.000 3.399
7.961 0.000 3.399
4.835 2.559 0.000
4.835 -2.559 0.000
```

## Properties
As for the space-group type: Cmmm (65). The calculated density is 7.89 g/cm³. The formation energy is -162 meV per atom. The total moment is 6.62 μB/f.u.

[2]
Compound: Pm2Al4NiPt3
Source: Alexandria
Functional: GGA-PBE
Structure: optimized geometry

POSCAR file:
```
Pm2Al4NiPt3
1.0
4.248 0.000 0.000
0.000 4.248 0.000
0.000 0.000 10.372
Pm Al Ni Pt
2 4 1 3
Cartesian
0.000 2.124 2.545
2.124 0.000 7.827
0.000 0.000 5.186
0.000 2.124 9.109
2.124 0.000 1.263
2.124 2.124 5.186
2.124 2.124 0.000
0.000 0.000 0.000
0.000 2.124 6.593
2.124 0.000 3.779
```

## Properties
As for the space-group type: P-4m2 (115). The calculated density is 9.24 g/cm³. The formation energy is -999 meV per atom. The total moment is 0.00 μB/f.u.